OsI4Br | GGA-PBE | relaxed

abc: 6.8751 7.2981 9.8303
angles: 108.88 90.49 117.49
Space group P-1 (No. 2)
Inequivalent atoms, fractional coordinates:
Os  0.1054  0.2179  0.2179 x2
I  0.1250  0.6016  0.8414 x2
I  0.2480  0.1938  0.9571 x2
I  0.3224  0.0159  0.2628 x2
I  0.4547  0.6053  0.3588 x2
Br  0.0654  0.8156  0.5662 x2

Summary:
As for the total magnetization: 0.2 Bohr magnetons per cell. Its calculated volume is 33.9 Å³ per atom. As for the total energy: -3.07 eV/atom.